1.
4
Lattice="-6.123 -0.684 5.691 -3.411 -1.322 7.547 -4.323 1.843 6.947" Properties=species:S:1:pos:R:3 comment="ZnWSe2 | Alexandria | PBE | optimized geometry" e_form_raw_ev_per_atom=0.523 pbc="T T T"
Zn -6.929 -0.082 10.093
Se -12.492 -0.148 18.197
Se -1.365 -0.016 1.989
W 0.000 0.000 0.000

2.
3
Lattice="4.237 0.000 0.000 2.118 3.669 0.000 2.118 1.223 3.459" Properties=species:S:1:pos:R:3 comment="ZnWSe | Alexandria | PBE | optimized geometry" e_above_lowest_polymorph_mev_per_atom=761 e_form_raw_ev_per_atom=0.835 pbc="T T T"
Se 6.355 3.669 2.594
W 0.000 0.000 0.000
Zn 4.237 2.446 1.730

3.
4
Lattice="-4.573 2.718 0.765 -4.627 -2.735 -0.021 4.820 -0.386 2.345" Properties=species:S:1:pos:R:3 comment="ZnWSe2 | Alexandria | PBE | optimized geometry" e_form_raw_ev_per_atom=0.715 pbc="T T T"
Se 0.000 0.000 0.000
Se -2.203 -1.564 1.349
W -4.600 -0.008 0.372
Zn -2.176 1.162 1.741

4.
5
Lattice="4.598 0.000 0.000 0.000 4.598 0.000 0.000 0.000 4.598" Properties=species:S:1:pos:R:3 comment="ZnW3Se | Alexandria | PBE | optimized geometry" e_above_lowest_polymorph_mev_per_atom=0 e_form_raw_ev_per_atom=1.643 pbc="T T T"
Zn 2.299 2.299 2.299
Se 0.000 0.000 0.000
W 0.000 2.299 0.000
W 0.000 0.000 2.299
W 2.299 0.000 0.000

5.
3
Lattice="3.110 0.000 0.000 -1.555 2.693 0.000 0.000 0.000 6.480" Properties=species:S:1:pos:R:3 comment="ZnWSe | Alexandria | PBE | optimized geometry" e_above_lowest_polymorph_mev_per_atom=0 e_form_raw_ev_per_atom=0.074 pbc="T T T"
Se 0.000 0.000 0.304
W 0.000 1.795 2.052
Zn 1.555 0.898 4.124

6.
4
Lattice="-2.981 -0.003 -0.591 0.314 -2.582 -1.571 -1.414 -4.525 7.153" Properties=species:S:1:pos:R:3 comment="ZnWSe2 | Alexandria | PBE | optimized geometry" e_form_raw_ev_per_atom=0.178 pbc="T T T"
Se -1.338 -4.282 6.769
Se -1.804 -2.798 1.299
W -0.710 -2.272 3.591
Zn -2.350 -4.546 4.062

7.
4
Lattice="3.087 0.000 0.000 0.000 3.088 0.000 0.000 0.000 8.935" Properties=species:S:1:pos:R:3 comment="ZnWSe2 | Alexandria | PBE | optimized geometry" e_form_raw_ev_per_atom=0.025 pbc="T T T"
Se 0.000 0.000 0.677
Se 0.000 0.000 3.790
W 1.544 1.544 2.234
Zn 1.544 1.544 6.701

8.
3
Lattice="-2.117 -0.978 -3.603 -2.729 -3.313 -0.054 -4.226 0.704 -0.264" Properties=species:S:1:pos:R:3 comment="ZnWSe | Alexandria | PBE | optimized geometry" e_above_lowest_polymorph_mev_per_atom=701 e_form_raw_ev_per_atom=0.775 pbc="T T T"
Se -4.536 -1.793 -1.961
W -6.804 -2.690 -2.941
Zn 0.000 0.000 0.000

Copy entry 5 word for word.
3
Lattice="3.110 0.000 0.000 -1.555 2.693 0.000 0.000 0.000 6.480" Properties=species:S:1:pos:R:3 comment="ZnWSe | Alexandria | PBE | optimized geometry" e_above_lowest_polymorph_mev_per_atom=0 e_form_raw_ev_per_atom=0.074 pbc="T T T"
Se 0.000 0.000 0.304
W 0.000 1.795 2.052
Zn 1.555 0.898 4.124

Please write out number 5 again, unchanged.
3
Lattice="3.110 0.000 0.000 -1.555 2.693 0.000 0.000 0.000 6.480" Properties=species:S:1:pos:R:3 comment="ZnWSe | Alexandria | PBE | optimized geometry" e_above_lowest_polymorph_mev_per_atom=0 e_form_raw_ev_per_atom=0.074 pbc="T T T"
Se 0.000 0.000 0.304
W 0.000 1.795 2.052
Zn 1.555 0.898 4.124